Entry from the Alexandria database: crystalline CsMnP3HO10 at its relaxed geometry (PBE+U).

Structure (POSCAR):
```
CsMnP3HO10
1.0
4.5617 -4.4022 0.0000
4.5617 4.4022 0.0000
-2.6078 0.0000 6.0672
Cs Mn P H O
1 1 3 1 10
Direct
0.0000 0.0000 0.0000 Cs
0.6650 0.3350 0.5000 Mn
0.2051 0.4405 0.6074 P
0.5595 0.7949 0.3926 P
0.5652 0.4348 0.0000 P
0.2518 0.7482 0.5000 H
0.2008 0.6898 0.6395 O
0.3100 0.4083 0.8520 O
0.3102 0.7992 0.3605 O
0.3472 0.3233 0.4587 O
0.5891 0.2832 0.1427 O
0.5917 0.6900 0.1480 O
0.6767 0.6528 0.5413 O
0.6813 0.0188 0.4764 O
0.7168 0.4109 0.8573 O
0.9812 0.3187 0.5236 O
```

Summary:
total energy = -6.898 eV per atom
theoretical density = 3.0 g/cm3
space-group type = C2 (5)
total moment = 4.0 μB per cell
V = 244 Å³/f.u.